[1]
Material: ScReCSe2
Method: DFT, PBE
State: relaxed

Properties
Raw formation energy = 1.395 eV/atom
Crystal system = tetragonal
Size of the total moment = 2.281 μB per cell
V = 119.19 Å³ per cell
Raw total energy = -5.600 eV/atom
DOS at the Fermi energy = 0.802 states/eV/atom

Cell and atoms, written as CIF:
```
data_ScReCSe2
_chemical_formula_sum 'Sc1 Re1 C1 Se2'
_space_group_name_H-M_alt 'P 4/m m m'
_space_group_IT_number 123
_space_group_name_Hall '-P 4 2'
_cell_length_a 4.704
_cell_length_b 4.704
_cell_length_c 5.388
_cell_angle_alpha 90.00
_cell_angle_beta 90.00
_cell_angle_gamma 90.00
loop_
_atom_site_label
_atom_site_type_symbol
_atom_site_fract_x
_atom_site_fract_y
_atom_site_fract_z
_atom_site_occupancy
Sc1 Sc 0.000 0.000 0.000 1
Re1 Re 0.000 0.000 0.500 1
C1 C 0.500 0.500 0.000 1
Se1 Se 0.000 0.500 0.500 1
```

***

[2]
Material: RbInSi
Method: DFT, PBE
State: relaxed

Properties
Raw formation energy = 0.223 eV/atom
Crystal system = hexagonal
Size of the total moment = 0.000 μB per cell
V = 173.17 Å³ per cell
Raw total energy = -2.820 eV/atom
DOS at the Fermi energy = 0.059 states/eV/atom

Cell and atoms, written as CIF:
```
data_RbInSi
_chemical_formula_sum 'Rb2 In2 Si2'
_space_group_name_H-M_alt 'P 63 m c'
_space_group_IT_number 186
_space_group_name_Hall 'P 6c -2c'
_cell_length_a 5.0177
_cell_length_b 5.0177
_cell_length_c 7.9420
_cell_angle_alpha 90.00
_cell_angle_beta 90.00
_cell_angle_gamma 120.00
loop_
_atom_site_label
_atom_site_type_symbol
_atom_site_fract_x
_atom_site_fract_y
_atom_site_fract_z
_atom_site_occupancy
Rb1 Rb 0.0000 0.0000 0.0000 1
In1 In 0.3333 0.6667 0.2894 1
Si1 Si 0.3333 0.6667 0.6924 1
```

***

[3]
Material: AgP2Ir
Method: DFT, PBE
State: relaxed

Properties
Crystal system = monoclinic
Size of the total moment = 0.000 μB per cell
Relative energy among the computed polymorphs = 44 meV/atom
E_form = -0.003 eV per atom
V = 142.36 Å³ per cell
Raw total energy = -5.636 eV/atom
DOS at the Fermi energy = 0.443 states/eV/atom

Cell and atoms, written as CIF:
```
data_AgP2Ir
_chemical_formula_sum 'Ag2 P4 Ir2'
_space_group_name_H-M_alt 'C 1 m 1'
_space_group_IT_number 8
_cell_length_a 7.829
_cell_length_b 3.093
_cell_length_c 6.436
_cell_angle_alpha 90.00
_cell_angle_beta 114.03
_cell_angle_gamma 90.00
loop_
_space_group_symop_operation_xyz
'x,y,z'
'x,-y,z'
'x+1/2,y+1/2,z'
'x+1/2,-y+1/2,z'
loop_
_atom_site_label
_atom_site_type_symbol
_atom_site_fract_x
_atom_site_fract_y
_atom_site_fract_z
_atom_site_occupancy
Ag1 Ag 0.000 0.000 0.000 1
P1 P 0.205 0.500 0.634 1
P2 P 0.300 0.500 0.231 1
Ir1 Ir 0.385 0.000 0.536 1
```

***

[4]
Material: SbTe2MoPb
Method: DFT, PBE
State: relaxed

Properties
Raw formation energy = 0.396 eV/atom
Crystal system = tetragonal
Size of the total moment = 0.504 μB per cell
Relative energy among the computed polymorphs = 0 meV/atom
V = 152.44 Å³ per cell
Raw total energy = -4.593 eV/atom
DOS at the Fermi energy = 1.145 states/eV/atom

Cell and atoms, written as CIF:
```
data_SbTe2MoPb
_chemical_formula_sum 'Sb1 Te2 Mo1 Pb1'
_space_group_name_H-M_alt 'P 4/m m m'
_space_group_IT_number 123
_space_group_name_Hall '-P 4 2'
_cell_length_a 5.394
_cell_length_b 5.394
_cell_length_c 5.239
_cell_angle_alpha 90.00
_cell_angle_beta 90.00
_cell_angle_gamma 90.00
loop_
_atom_site_label
_atom_site_type_symbol
_atom_site_fract_x
_atom_site_fract_y
_atom_site_fract_z
_atom_site_occupancy
Sb1 Sb 0.000 0.000 0.000 1
Te1 Te 0.000 0.500 0.500 1
Mo1 Mo 0.000 0.000 0.500 1
Pb1 Pb 0.500 0.500 0.000 1
```

***

[5]
Material: Pm3Dy2Mg
Method: DFT, PBE
State: relaxed

Properties
Crystal system = tetragonal
Size of the total moment = 0.000 μB per cell
Relative energy among the computed polymorphs = 0 meV/atom
E_form = -0.019 eV per atom
V = 189.98 Å³ per cell
Raw total energy = -4.194 eV/atom
DOS at the Fermi energy = 1.199 states/eV/atom

Cell and atoms, written as CIF:
```
data_Pm3Dy2Mg
_chemical_formula_sum 'Pm3 Dy2 Mg1'
_space_group_name_H-M_alt 'P 4/m m m'
_space_group_IT_number 123
_space_group_name_Hall '-P 4 2'
_cell_length_a 3.624
_cell_length_b 3.624
_cell_length_c 14.464
_cell_angle_alpha 90.00
_cell_angle_beta 90.00
_cell_angle_gamma 90.00
loop_
_atom_site_label
_atom_site_type_symbol
_atom_site_fract_x
_atom_site_fract_y
_atom_site_fract_z
_atom_site_occupancy
Pm1 Pm 0.000 0.000 0.000 1
Pm2 Pm 0.000 0.000 0.347 1
Dy1 Dy 0.500 0.500 0.174 1
Mg1 Mg 0.500 0.500 0.500 1
```

***

[6]
Material: Tb3Ga8Pt3
Method: DFT, PBE
State: relaxed

Properties
Crystal system = monoclinic
Size of the total moment = 0.000 μB per cell
E_form = -0.797 eV per atom
V = 518.69 Å³ per cell
Raw total energy = -4.814 eV/atom
DOS at the Fermi energy = 0.358 states/eV/atom

Cell and atoms, written as CIF:
```
data_Tb3Ga8Pt3
_chemical_formula_sum 'Tb6 Ga16 Pt6'
_space_group_name_H-M_alt 'C 1 2/m 1'
_space_group_IT_number 12
_cell_length_a 15.704
_cell_length_b 4.351
_cell_length_c 9.347
_cell_angle_alpha 90.00
_cell_angle_beta 125.69
_cell_angle_gamma 90.00
loop_
_space_group_symop_operation_xyz
'x,y,z'
'-x,-y,-z'
'-x,y,-z'
'x,-y,z'
'x+1/2,y+1/2,z'
'-x+1/2,-y+1/2,-z'
'-x+1/2,y+1/2,-z'
'x+1/2,-y+1/2,z'
loop_
_atom_site_label
_atom_site_type_symbol
_atom_site_fract_x
_atom_site_fract_y
_atom_site_fract_z
_atom_site_occupancy
Tb1 Tb 0.000 0.000 0.000 1
Tb2 Tb 0.208 0.500 0.708 1
Ga1 Ga 0.001 0.500 0.676 1
Ga2 Ga 0.142 0.000 0.429 1
Ga3 Ga 0.151 0.000 0.867 1
Ga4 Ga 0.156 0.500 0.286 1
Pt1 Pt 0.000 0.000 0.500 1
Pt2 Pt 0.147 0.500 0.007 1
```